Mg2CoF | PBE+U | optimized geometry

Output
Distance to the lowest polymorph of the same formula ... 0.356 eV/atom
V ... 17.0 Å³/atom

Structure (POSCAR):
```
Mg2CoF
1.0
0.000 3.237 3.237
3.237 0.000 3.237
3.237 3.237 0.000
Mg Co F
2 1 1
Cartesian
1.618 1.618 1.618
4.855 4.855 4.855
3.237 3.237 3.237
0.000 0.000 0.000
```